# CeHo8Bi6 | Alexandria via LeMat-Bulk | PBE | relaxed
data_CeHo8Bi6
_cell_length_a 8.1781
_cell_length_b 8.1781
_cell_length_c 25.3237
_cell_angle_alpha 90.00
_cell_angle_beta 90.00
_cell_angle_gamma 120.00
_symmetry_space_group_name_H-M 'R -3'
_symmetry_Int_Tables_number 148
_symmetry_space_group_name_Hall '-R 3'
loop_
_atom_site_label
_atom_site_type_symbol
_atom_site_fract_x
_atom_site_fract_y
_atom_site_fract_z
Ce1 Ce 0.0000 0.0000 0.0000
Ho1 Ho 0.0000 0.0000 0.3340
Ho2 Ho 0.0051 0.6798 0.1231
Bi1 Bi 0.0037 0.6581 0.9318
# DOS(E_F): 66.337 states/eV/cell
# Magnetic moment: 4.76 μB/cell
# ρ: 9.216 g cm⁻³
# Energy of formation: -469 meV per atom
# VASP energy: -4.86 eV/atom

=====

# Ce2HoBi4 | Alexandria via LeMat-Bulk | PBE | relaxed
data_Ce2HoBi4
_cell_length_a 9.511
_cell_length_b 9.511
_cell_length_c 9.521
_cell_angle_alpha 90.00
_cell_angle_beta 90.00
_cell_angle_gamma 90.00
_symmetry_space_group_name_H-M 'I -4 2 d'
_symmetry_Int_Tables_number 122
_symmetry_space_group_name_Hall 'I -4 2bw'
loop_
_atom_site_label
_atom_site_type_symbol
_atom_site_fract_x
_atom_site_fract_y
_atom_site_fract_z
Ce1 Ce 0.123 0.750 0.125
Ho1 Ho 0.000 0.000 0.500
Bi1 Bi 0.078 0.674 0.456
# DOS(E_F): 30.982 states/eV/cell
# Magnetic moment: 1.50 μB/cell
# ρ: 9.879 g cm⁻³
# Energy of formation: -675 meV per atom
# VASP energy: -5.24 eV/atom

=====

# CeHoBi2 | Alexandria via LeMat-Bulk | PBE | relaxed
data_CeHoBi2
_cell_length_a 4.411
_cell_length_b 25.041
_cell_length_c 4.675
_cell_angle_alpha 90.00
_cell_angle_beta 90.00
_cell_angle_gamma 90.00
_symmetry_space_group_name_H-M 'C m c m'
_symmetry_Int_Tables_number 63
_symmetry_space_group_name_Hall '-C 2c 2'
loop_
_atom_site_label
_atom_site_type_symbol
_atom_site_fract_x
_atom_site_fract_y
_atom_site_fract_z
Ce1 Ce 0.000 0.060 0.250
Ho1 Ho 0.000 0.313 0.250
Bi1 Bi 0.000 0.188 0.250
Bi2 Bi 0.000 0.441 0.250
# DOS(E_F): 26.192 states/eV/cell
# Magnetic moment: 3.70 μB/cell
# ρ: 9.300 g cm⁻³
# Energy of formation: -748 meV per atom
# VASP energy: -5.32 eV/atom
# E above lowest polymorph: 0.067 eV per atom

=====

Q: Which formula does entry 1 have?
A: CeHo8Bi6

=====

Q: What is the magnetic moment in the first record?
A: 4.76 μB/cell

=====

Q: Which value of DOS(E_F) does entry 2 give?
A: 30.982 states/eV/cell